A geometry-optimized MoSF2 structure. Source: Alexandria, functional PBE+U.

## Properties
Magnetic moment in μB/f.u.: 2.000
E_tot in eV per atom: -4.1671
Energy relative to the lowest polymorph listed for this composition in kJ/mol of formula units: 175.1

```
data_MoSF2
_chemical_formula_sum 'Mo1 S1 F2'
_symmetry_space_group_name_H-M 'P 1'
_symmetry_Int_Tables_number 1
_cell_length_a 4.269
_cell_length_b 4.269
_cell_length_c 4.269
_cell_angle_alpha 60.00
_cell_angle_beta 60.00
_cell_angle_gamma 60.00
loop_
_symmetry_equiv_pos_as_xyz
'x,y,z'
loop_
_atom_site_label
_atom_site_type_symbol
_atom_site_fract_x
_atom_site_fract_y
_atom_site_fract_z
F1 F 0.250 0.250 0.250
F2 F 0.750 0.750 0.750
S1 S 0.000 0.000 0.000
Mo1 Mo 0.500 0.500 0.500
```